Computed, not measured: BeHgRh3 after structural relaxation at the PBEsol level of DFT.

Summary:
Its space-group type is Pm-3m, No. 221. The calculation puts the energy relative to the elements at 1.1 eV per formula unit. For the magnetization, the calculation gives 0.00 μB/cell. The calculation puts the mass density at 12.20 g/cm³.

Cell lengths 4.132, 4.132, 4.132 Å; angles 90.00, 90.00, 90.00 degrees
Positions (direct):
Be (0.000, 0.000, 0.000)
Rh (0.000, 0.500, 0.000)
Rh (0.000, 0.000, 0.500)
Rh (0.500, 0.000, 0.000)
Hg (0.500, 0.500, 0.500)